[1]
Density functional theory data (PBE) for a relaxed structure of HfTi2HPd. Values from VASP.

Output
Crystal system = tetragonal
Polymorph energy (0 for the lowest one) = 86.3 meV/atom

```
&SYSTEM
  ibrav = 0, nat = 5, ntyp = 4
/
ATOMIC_SPECIES
H 1.01 H.upf
Hf 178.49 Hf.upf
Ti 47.87 Ti.upf
Pd 106.42 Pd.upf
CELL_PARAMETERS angstrom
-1.4712 -3.4471 -1.1687
1.0600 -1.6117 3.4192
-4.1639 1.1549 1.8352
ATOMIC_POSITIONS crystal
H 0.0000 0.0000 0.0000
Hf 0.5000 0.5000 0.5000
Ti 0.0000 0.5000 0.0000
Ti 0.5000 0.0000 0.0000
Pd 0.0000 0.0000 0.5000
```

=====

[2]
Density functional theory data (PBE) for a relaxed structure of Ac2La8Tm3. Values from VASP.

Output
Crystal system = monoclinic
ΔH_f (0 K) = 0.161 eV/atom

```
&SYSTEM
  ibrav = 0, nat = 13, ntyp = 3
/
ATOMIC_SPECIES
Tm 168.93 Tm.upf
La 138.91 La.upf
Ac 227.00 Ac.upf
CELL_PARAMETERS angstrom
-1.6994 0.6160 6.0323
6.0614 -4.6942 4.9913
4.6273 7.1313 3.3796
ATOMIC_POSITIONS crystal
Tm 0.0000 0.2626 0.7374
Tm 0.0000 0.7374 0.2626
Tm 0.5000 0.0000 0.0000
La 0.6488 0.6002 0.0887
La 0.8946 0.1364 0.1364
La 0.1054 0.8636 0.8636
La 0.6488 0.0887 0.6002
La 0.3512 0.3998 0.9113
La 0.2595 0.5804 0.5804
La 0.3512 0.9113 0.3998
La 0.7405 0.4196 0.4196
Ac 0.3230 0.3100 0.3100
Ac 0.6770 0.6900 0.6900
```

=====

[3]
Density functional theory data (PBE) for a relaxed structure of YZn3B. Values from VASP.

Output
Crystal system = cubic
ΔH_f (0 K) = 1.791 eV/atom
Polymorph energy (0 for the lowest one) = 1619.6 meV/atom

```
&SYSTEM
  ibrav = 0, nat = 5, ntyp = 3
/
ATOMIC_SPECIES
Zn 65.41 Zn.upf
B 10.81 B.upf
Y 88.91 Y.upf
CELL_PARAMETERS angstrom
5.6095 0.0000 0.0000
0.0000 5.6095 0.0000
0.0000 0.0000 5.6095
ATOMIC_POSITIONS crystal
Zn 0.0000 0.0000 0.5000
Zn 0.5000 0.0000 0.0000
Zn 0.0000 0.5000 0.0000
B 0.5000 0.5000 0.5000
Y 0.0000 0.0000 0.0000
```

=====

Number 1: uncorrected energy -35.455 eV per cell. Number 2: uncorrected energy -58.961 eV per cell. Number 3: uncorrected energy -8.010 eV per cell.